{
  "formula": "AlCo2Sb",
  "functional": "PBE",
  "state": "relaxed",
  "formation_energy_uncorrected_ev_per_fu": 1.182,
  "dos_ef_per_ev_atom": 1.368,
  "sg": "I-42d, No. 122",
  "de_polymorph_mev_per_atom": 405,
  "lattice_angstrom": [[-2.000, 2.000, 8.248], [2.000, -2.000, 8.248], [2.000, 2.000, -8.248]],
  "species": ["Al", "Al", "Co", "Co", "Co", "Co", "Sb", "Sb"],
  "frac_coords": [[0.000, 0.000, 0.000], [0.750, 0.250, 0.500], [0.077, 0.625, 0.952], [0.375, 0.327, 0.452], [0.673, 0.125, 0.048], [0.875, 0.923, 0.548], [0.250, 0.750, 0.500], [0.500, 0.500, 0.000]]
}

=====

{
  "formula": "AlCo2Sb",
  "functional": "PBE",
  "state": "relaxed",
  "formation_energy_uncorrected_ev_per_fu": -0.102,
  "dos_ef_per_ev_atom": 1.122,
  "sg": "P4mm, No. 99",
  "de_polymorph_mev_per_atom": 84,
  "lattice_angstrom": [[3.349, 0.000, 0.000], [0.000, 3.349, 0.000], [0.000, 0.000, 5.194]],
  "species": ["Al", "Co", "Co", "Sb"],
  "frac_coords": [[0.000, 0.000, 0.000], [0.000, 0.000, 0.473], [0.500, 0.500, 0.158], [0.500, 0.500, 0.656]]
}

=====

{
  "formula": "AlCo2Sb",
  "functional": "PBE",
  "state": "relaxed",
  "formation_energy_uncorrected_ev_per_fu": 1.316,
  "dos_ef_per_ev_atom": 1.365,
  "sg": "R3m, No. 160",
  "de_polymorph_mev_per_atom": 439,
  "lattice_angstrom": [[1.538, 0.888, 7.845], [-1.538, 0.888, 7.845], [0.000, -1.775, 7.845]],
  "species": ["Al", "Co", "Co", "Sb"],
  "frac_coords": [[0.000, 0.000, 0.000], [0.261, 0.261, 0.261], [0.522, 0.522, 0.522], [0.773, 0.773, 0.773]]
}

=====

{
  "formula": "AlCoSb2",
  "functional": "PBE",
  "state": "relaxed",
  "formation_energy_uncorrected_ev_per_fu": 0.368,
  "dos_ef_per_ev_atom": 0.540,
  "sg": "C2/m, No. 12",
  "lattice_angstrom": [[3.329, -1.920, 0.000], [3.329, 1.920, 0.000], [-2.191, 0.000, 6.455]],
  "species": ["Al", "Co", "Sb", "Sb"],
  "frac_coords": [[0.000, 0.000, 0.000], [0.500, 0.500, 0.500], [0.234, 0.234, 0.706], [0.766, 0.766, 0.294]]
}

=====

{
  "formula": "AlCoSb3",
  "functional": "PBE",
  "state": "relaxed",
  "formation_energy_uncorrected_ev_per_fu": 5.526,
  "dos_ef_per_ev_atom": 2.126,
  "sg": "Pm-3m, No. 221",
  "de_polymorph_mev_per_atom": 660,
  "lattice_angstrom": [[5.203, 0.000, 0.000], [0.000, 5.203, 0.000], [0.000, 0.000, 5.203]],
  "species": ["Al", "Co", "Sb", "Sb", "Sb"],
  "frac_coords": [[0.000, 0.000, 0.000], [0.500, 0.500, 0.500], [0.000, 0.000, 0.500], [0.000, 0.500, 0.000], [0.500, 0.000, 0.000]]
}

=====

{
  "formula": "AlCo2Sb",
  "functional": "PBE",
  "state": "relaxed",
  "formation_energy_uncorrected_ev_per_fu": 0.396,
  "dos_ef_per_ev_atom": 1.039,
  "sg": "P4mm, No. 99",
  "de_polymorph_mev_per_atom": 209,
  "lattice_angstrom": [[2.998, 0.000, 0.000], [0.000, 2.998, 0.000], [0.000, 0.000, 7.405]],
  "species": ["Al", "Co", "Co", "Sb"],
  "frac_coords": [[0.000, 0.000, 0.000], [0.000, 0.000, 0.357], [0.500, 0.500, 0.162], [0.500, 0.500, 0.570]]
}

=====

{
  "formula": "Al2Co2Sb",
  "functional": "PBE",
  "state": "relaxed",
  "formation_energy_uncorrected_ev_per_fu": -0.824,
  "dos_ef_per_ev_atom": 0.708,
  "sg": "P4/mbm, No. 127",
  "de_polymorph_mev_per_atom": 0,
  "lattice_angstrom": [[7.081, 0.000, 0.000], [0.000, 7.081, 0.000], [0.000, 0.000, 2.885]],
  "species": ["Al", "Al", "Al", "Al", "Co", "Co", "Co", "Co", "Sb", "Sb"],
  "frac_coords": [[0.137, 0.363, 0.000], [0.363, 0.863, 0.000], [0.637, 0.137, 0.000], [0.863, 0.637, 0.000], [0.154, 0.654, 0.500], [0.346, 0.154, 0.500], [0.654, 0.846, 0.500], [0.846, 0.346, 0.500], [0.000, 0.000, 0.500], [0.500, 0.500, 0.500]]
}

=====

{
  "formula": "AlCo2Sb",
  "functional": "PBE",
  "state": "relaxed",
  "formation_energy_uncorrected_ev_per_fu": 0.167,
  "dos_ef_per_ev_atom": 0.969,
  "sg": "C2/m, No. 12",
  "de_polymorph_mev_per_atom": 151,
  "lattice_angstrom": [[3.953, -1.511, 0.000], [3.953, 1.511, 0.000], [-1.004, 0.000, 4.864]],
  "species": ["Al", "Co", "Co", "Sb"],
  "frac_coords": [[0.000, 0.000, 0.000], [0.252, 0.252, 0.770], [0.748, 0.748, 0.230], [0.500, 0.500, 0.500]]
}

=====

{
  "formula": "AlCoSb3",
  "functional": "PBE",
  "state": "relaxed",
  "formation_energy_uncorrected_ev_per_fu": 2.224,
  "dos_ef_per_ev_atom": 1.066,
  "sg": "Pm-3m, No. 221",
  "de_polymorph_mev_per_atom": 0,
  "lattice_angstrom": [[4.965, 0.000, 0.000], [0.000, 4.965, 0.000], [0.000, 0.000, 4.965]],
  "species": ["Al", "Co", "Sb", "Sb", "Sb"],
  "frac_coords": [[0.000, 0.000, 0.000], [0.500, 0.500, 0.500], [0.000, 0.500, 0.500], [0.500, 0.000, 0.500], [0.500, 0.500, 0.000]]
}

=====

{
  "formula": "AlCo2Sb",
  "functional": "PBE",
  "state": "relaxed",
  "formation_energy_uncorrected_ev_per_fu": 1.344,
  "dos_ef_per_ev_atom": 1.576,
  "sg": "F-43m, No. 216",
  "de_polymorph_mev_per_atom": 446,
  "lattice_angstrom": [[0.000, 3.081, 3.081], [3.081, 0.000, 3.081], [3.081, 3.081, 0.000]],
  "species": ["Al", "Co", "Co", "Sb"],
  "frac_coords": [[0.000, 0.000, 0.000], [0.250, 0.250, 0.250], [0.500, 0.500, 0.500], [0.750, 0.750, 0.750]]
}

=====

{
  "formula": "AlCoSb2",
  "functional": "PBE",
  "state": "relaxed",
  "formation_energy_uncorrected_ev_per_fu": 1.742,
  "dos_ef_per_ev_atom": 1.208,
  "sg": "I-4m2, No. 119",
  "lattice_angstrom": [[-1.978, 1.978, 5.163], [1.978, -1.978, 5.163], [1.978, 1.978, -5.163]],
  "species": ["Al", "Co", "Sb", "Sb"],
  "frac_coords": [[0.000, 0.000, 0.000], [0.250, 0.750, 0.500], [0.500, 0.500, 0.000], [0.750, 0.250, 0.500]]
}

=====

{
  "formula": "AlCoSb2",
  "functional": "PBE",
  "state": "relaxed",
  "formation_energy_uncorrected_ev_per_fu": -0.162,
  "dos_ef_per_ev_atom": 0.593,
  "sg": "Cm, No. 8",
  "lattice_angstrom": [[3.510, -2.032, 0.000], [3.510, 2.032, 0.000], [-2.381, 0.000, 6.092]],
  "species": ["Al", "Co", "Sb", "Sb"],
  "frac_coords": [[0.000, 0.000, 0.000], [0.333, 0.333, 0.999], [0.574, 0.574, 0.731], [0.758, 0.758, 0.268]]
}

=====

{
  "formula": "AlCoSb2",
  "functional": "PBE",
  "state": "relaxed",
  "formation_energy_uncorrected_ev_per_fu": 0.168,
  "dos_ef_per_ev_atom": 0.500,
  "sg": "Amm2, No. 38",
  "lattice_angstrom": [[4.372, 0.000, 0.000], [0.000, 2.456, 3.943], [0.000, -2.456, 3.943]],
  "species": ["Al", "Co", "Sb", "Sb"],
  "frac_coords": [[0.000, 0.000, 0.000], [0.500, 0.140, 0.140], [0.000, 0.338, 0.338], [0.500, 0.769, 0.769]]
}

=====

{
  "formula": "AlCo2Sb",
  "functional": "PBE",
  "state": "relaxed",
  "formation_energy_uncorrected_ev_per_fu": -0.439,
  "dos_ef_per_ev_atom": 0.571,
  "sg": "Cm, No. 8",
  "de_polymorph_mev_per_atom": 0,
  "lattice_angstrom": [[4.439, -1.567, 0.000], [4.439, 1.567, 0.000], [-0.966, 0.000, 4.043]],
  "species": ["Al", "Co", "Co", "Sb"],
  "frac_coords": [[0.000, 0.000, 0.000], [0.271, 0.271, 0.905], [0.495, 0.495, 0.509], [0.760, 0.760, 0.390]]
}